P:
A geometry-optimized TaBe2Os2 structure, computed with PBE.

The structure in extended XYZ format:
```
5
Lattice="-1.4786 -0.7784 3.5983 -2.7600 -2.3318 -1.6385 0.5169 -4.9243 1.3343" Properties=species:S:1:pos:R:3 pbc="T T T"
Ta 0.0000 0.0000 0.0000
Be -1.5405 -3.6289 2.9563
Os -1.3874 -2.4905 1.0783
Be -2.1812 -4.4056 0.3378
Os -2.3343 -5.5441 2.2158
```

***

Q:
A geometry-optimized TaBe2Os2 structure, computed with PBE.

The structure in extended XYZ format:
```
10
Lattice="6.7980 0.0000 0.0000 0.0000 6.7980 0.0000 0.0000 0.0000 2.8291" Properties=species:S:1:pos:R:3 pbc="T T T"
Be 4.4379 5.7591 1.4145
Ta 0.0000 0.0000 0.0000
Os 5.8415 4.3555 0.0000
Be 2.3601 1.0389 1.4145
Os 2.4425 5.8415 0.0000
Be 1.0389 4.4379 1.4145
Os 0.9565 2.4425 0.0000
Be 5.7591 2.3601 1.4145
Ta 3.3990 3.3990 0.0000
Os 4.3555 0.9565 0.0000
```

***

Q has the most favorable energy; the next structure is 276 meV/atom above.